Entry 1:
{
  "formula": "SrGeCl",
  "functional": "PBE-GGA",
  "state": "relaxed",
  "de_polymorph_mev_per_atom": 0,
  "sg": "C2/m, No. 12",
  "final_energy_ev_per_cell": -24.9,
  "magnetic_moment_mub_per_cell": 0.00,
  "lattice_angstrom": [[3.6885, -2.1312, 0.0000], [3.6885, 2.1312, 0.0000], [-0.4294, 0.0000, 11.6804]],
  "species": ["Sr", "Sr", "Ge", "Ge", "Cl", "Cl"],
  "fractional_positions": [[0.0127, 0.0127, 0.2199], [0.9873, 0.9873, 0.7801], [0.3358, 0.3358, 0.0429], [0.6642, 0.6642, 0.9571], [0.3132, 0.3132, 0.6515], [0.6868, 0.6868, 0.3485]]
}


Entry 2:
{
  "formula": "Sr2Ge2Cl",
  "functional": "PBE-GGA",
  "state": "relaxed",
  "de_polymorph_mev_per_atom": 0,
  "sg": "C2/m, No. 12",
  "final_energy_ev_per_cell": -19.7,
  "magnetic_moment_mub_per_cell": 0.00,
  "lattice_angstrom": [[3.7262, -2.2867, 0.0000], [3.7262, 2.2867, 0.0000], [-2.4292, 0.0000, 8.2969]],
  "species": ["Sr", "Sr", "Ge", "Ge", "Cl"],
  "fractional_positions": [[0.0928, 0.0928, 0.2601], [0.9072, 0.9072, 0.7399], [0.3174, 0.3174, 0.9600], [0.6826, 0.6826, 0.0400], [0.5000, 0.5000, 0.5000]]
}


Entry 3:
{
  "formula": "SrGe2Cl6",
  "functional": "PBE-GGA",
  "state": "relaxed",
  "de_polymorph_mev_per_atom": 0,
  "sg": "C2/c, No. 15",
  "final_energy_ev_per_cell": -68.0,
  "magnetic_moment_mub_per_cell": 0.00,
  "lattice_angstrom": [[6.2186, -6.0763, 0.0000], [6.2186, 6.0763, 0.0000], [-3.6361, 0.0000, 7.6103]],
  "species": ["Sr", "Sr", "Ge", "Ge", "Ge", "Ge", "Cl", "Cl", "Cl", "Cl", "Cl", "Cl", "Cl", "Cl", "Cl", "Cl", "Cl", "Cl"],
  "fractional_positions": [[0.1282, 0.8718, 0.7500], [0.8718, 0.1282, 0.2500], [0.2602, 0.4403, 0.8011], [0.4403, 0.2602, 0.3011], [0.5597, 0.7398, 0.6989], [0.7398, 0.5597, 0.1989], [0.0673, 0.1954, 0.6428], [0.0779, 0.6154, 0.8981], [0.1954, 0.0673, 0.1428], [0.2183, 0.5229, 0.5494], [0.3846, 0.9221, 0.6019], [0.4771, 0.7817, 0.9506], [0.5229, 0.2183, 0.0494], [0.6154, 0.0779, 0.3981], [0.7817, 0.4771, 0.4506], [0.8046, 0.9327, 0.8572], [0.9221, 0.3846, 0.1019], [0.9327, 0.8046, 0.3572]]
}


Entry 4:
{
  "formula": "SrGeCl4",
  "functional": "PBE-GGA",
  "state": "relaxed",
  "de_polymorph_mev_per_atom": 10,
  "sg": "I4_1/amd, No. 141",
  "final_energy_ev_per_cell": -45.9,
  "magnetic_moment_mub_per_cell": 0.00,
  "lattice_angstrom": [[-4.7118, 4.7118, 4.5053], [4.7118, -4.7118, 4.5053], [4.7118, 4.7118, -4.5053]],
  "species": ["Sr", "Sr", "Ge", "Ge", "Cl", "Cl", "Cl", "Cl", "Cl", "Cl", "Cl", "Cl"],
  "fractional_positions": [[0.3750, 0.6250, 0.7500], [0.6250, 0.3750, 0.2500], [0.1250, 0.8750, 0.2500], [0.8750, 0.1250, 0.7500], [0.1085, 0.6712, 0.4373], [0.2660, 0.3288, 0.9373], [0.3288, 0.2660, 0.4373], [0.3288, 0.8915, 0.0627], [0.6712, 0.1085, 0.9373], [0.6712, 0.7340, 0.5627], [0.7340, 0.6712, 0.0627], [0.8915, 0.3288, 0.5627]]
}